Entry 1:
# SCAN CoHgBr, single point on PBEsol structure
# * density of states at the Fermi level: 8.0 states/eV/cell
# * formation energy (no corrections): 237 meV/atom
# * M_tot: 2.16 μB/f.u.
data_CoHgBr
_symmetry_space_group_name_H-M 'F m m 2'
_symmetry_Int_Tables_number 42
_symmetry_space_group_name_Hall 'F 2 -2'
_cell_length_a 4.382
_cell_length_b 4.393
_cell_length_c 12.125
_cell_angle_alpha 90.00
_cell_angle_beta 90.00
_cell_angle_gamma 90.00
loop_
_atom_site_label
_atom_site_fract_x
_atom_site_fract_y
_atom_site_fract_z
_atom_site_occupancy
Co1 0.000 0.000 0.000 1
Hg1 0.000 0.000 0.349 1
Br1 0.000 0.000 0.609 1

Entry 2:
# SCAN CoHgBr2, single point on PBEsol structure
# * density of states at the Fermi level: 1.4 states/eV/cell
# * formation energy (no corrections): 158 meV/atom
# * M_tot: 2.06 μB/f.u.
data_CoHgBr2
_symmetry_space_group_name_H-M 'C 1 2/m 1'
_symmetry_Int_Tables_number 12
_cell_length_a 7.283
_cell_length_b 7.661
_cell_length_c 3.664
_cell_angle_alpha 90.00
_cell_angle_beta 115.06
_cell_angle_gamma 90.00
loop_
_symmetry_equiv_pos_as_xyz
'x,y,z'
'-x,-y,-z'
'-x,y,-z'
'x,-y,z'
'x+1/2,y+1/2,z'
'-x+1/2,-y+1/2,-z'
'-x+1/2,y+1/2,-z'
'x+1/2,-y+1/2,z'
loop_
_atom_site_label
_atom_site_fract_x
_atom_site_fract_y
_atom_site_fract_z
_atom_site_occupancy
Co1 0.000 0.000 0.000 1
Hg1 0.000 0.500 0.000 1
Br1 0.250 0.250 0.500 1

Entry 3:
# SCAN CoHgSeBr2, single point on PBEsol structure
# * density of states at the Fermi level: 3.4 states/eV/cell
# * formation energy (no corrections): 67 meV/atom
# * M_tot: 2.50 μB/f.u.
data_CoHgSeBr2
_symmetry_space_group_name_H-M 'P 4/m m m'
_symmetry_Int_Tables_number 123
_symmetry_space_group_name_Hall '-P 4 2'
_cell_length_a 4.965
_cell_length_b 4.965
_cell_length_c 4.472
_cell_angle_alpha 90.00
_cell_angle_beta 90.00
_cell_angle_gamma 90.00
loop_
_atom_site_label
_atom_site_fract_x
_atom_site_fract_y
_atom_site_fract_z
_atom_site_occupancy
Co1 0.000 0.000 0.000 1
Hg1 0.500 0.500 0.500 1
Se1 0.000 0.000 0.500 1
Br1 0.000 0.500 0.000 1

Entry 4:
# SCAN CoI3Br, single point on PBEsol structure
# * density of states at the Fermi level: 5.7 states/eV/cell
# * formation energy (no corrections): 283 meV/atom
# * M_tot: 2.45 μB/f.u.
data_CoI3Br
_symmetry_space_group_name_H-M 'P m -3 m'
_symmetry_Int_Tables_number 221
_symmetry_space_group_name_Hall '-P 4 2 3'
_cell_length_a 5.154
_cell_length_b 5.154
_cell_length_c 5.154
_cell_angle_alpha 90.00
_cell_angle_beta 90.00
_cell_angle_gamma 90.00
loop_
_atom_site_label
_atom_site_fract_x
_atom_site_fract_y
_atom_site_fract_z
_atom_site_occupancy
Co1 0.000 0.000 0.000 1
I1 0.000 0.000 0.500 1
Br1 0.500 0.500 0.500 1

Entry 5:
# SCAN CoIBr3, single point on PBEsol structure
# * density of states at the Fermi level: 3.7 states/eV/cell
# * formation energy (no corrections): 62 meV/atom
# * M_tot: 2.91 μB/f.u.
data_CoIBr3
_symmetry_space_group_name_H-M 'P m -3 m'
_symmetry_Int_Tables_number 221
_symmetry_space_group_name_Hall '-P 4 2 3'
_cell_length_a 4.862
_cell_length_b 4.862
_cell_length_c 4.862
_cell_angle_alpha 90.00
_cell_angle_beta 90.00
_cell_angle_gamma 90.00
loop_
_atom_site_label
_atom_site_fract_x
_atom_site_fract_y
_atom_site_fract_z
_atom_site_occupancy
Co1 0.000 0.000 0.000 1
I1 0.500 0.500 0.500 1
Br1 0.000 0.000 0.500 1

Entry 6:
# SCAN CoI2BrN, single point on PBEsol structure
# * density of states at the Fermi level: 5.4 states/eV/cell
# * formation energy (no corrections): 1682 meV/atom
# * M_tot: 2.60 μB/f.u.
data_CoI2BrN
_symmetry_space_group_name_H-M 'P 4/m m m'
_symmetry_Int_Tables_number 123
_symmetry_space_group_name_Hall '-P 4 2'
_cell_length_a 5.945
_cell_length_b 5.945
_cell_length_c 3.681
_cell_angle_alpha 90.00
_cell_angle_beta 90.00
_cell_angle_gamma 90.00
loop_
_atom_site_label
_atom_site_fract_x
_atom_site_fract_y
_atom_site_fract_z
_atom_site_occupancy
Co1 0.000 0.000 0.000 1
I1 0.000 0.500 0.500 1
Br1 0.500 0.500 0.500 1
N1 0.500 0.500 0.000 1

Entry 7:
# SCAN CoSe2IBr, single point on PBEsol structure
# * density of states at the Fermi level: 5.0 states/eV/cell
# * formation energy (no corrections): 1121 meV/atom
# * M_tot: 2.69 μB/f.u.
data_CoSe2IBr
_symmetry_space_group_name_H-M 'P 4/m m m'
_symmetry_Int_Tables_number 123
_symmetry_space_group_name_Hall '-P 4 2'
_cell_length_a 5.408
_cell_length_b 5.408
_cell_length_c 5.315
_cell_angle_alpha 90.00
_cell_angle_beta 90.00
_cell_angle_gamma 90.00
loop_
_atom_site_label
_atom_site_fract_x
_atom_site_fract_y
_atom_site_fract_z
_atom_site_occupancy
Co1 0.000 0.000 0.000 1
Se1 0.000 0.500 0.500 1
I1 0.500 0.500 0.500 1
Br1 0.500 0.500 0.000 1

Entry 8:
# SCAN Ti2CoIBr, single point on PBEsol structure
# * density of states at the Fermi level: 3.5 states/eV/cell
# * formation energy (no corrections): 1089 meV/atom
# * M_tot: 3.63 μB/f.u.
data_Ti2CoIBr
_symmetry_space_group_name_H-M 'P 4/m m m'
_symmetry_Int_Tables_number 123
_symmetry_space_group_name_Hall '-P 4 2'
_cell_length_a 4.559
_cell_length_b 4.559
_cell_length_c 6.212
_cell_angle_alpha 90.00
_cell_angle_beta 90.00
_cell_angle_gamma 90.00
loop_
_atom_site_label
_atom_site_fract_x
_atom_site_fract_y
_atom_site_fract_z
_atom_site_occupancy
Ti1 0.000 0.500 0.000 1
Co1 0.000 0.000 0.500 1
I1 0.500 0.500 0.500 1
Br1 0.500 0.500 0.000 1